Density functional theory data (GGA+U) for crystalline MnGaNF2 at its relaxed geometry.

As for the crystal system: tetragonal. As for the excess energy over the best structure of this formula in the dataset: 0 meV per atom. The raw total energy comes out at -0.203 Ha/atom.

Geometry as POSCAR:
```
MnGaNF2
1.0
3.9463 0.0000 0.0000
0.0000 3.9463 0.0000
0.0000 0.0000 3.8787
Mn Ga N F
1 1 1 2
Cartesian
0.0000 0.0000 0.0000
1.9731 1.9731 1.9394
1.9731 1.9731 0.0000
0.0000 1.9731 1.9394
1.9731 0.0000 1.9394
```